LiMgAg2Ge: relaxed, PBE.

Geometry as POSCAR:
```
LiMgAg2Ge
1.0
-1.622 -3.533 1.735
2.822 -1.093 -4.811
7.222 -1.110 4.489
Ag Ge Li Mg
4 2 2 2
Direct
0.165 0.330 0.033
0.835 0.670 0.533
0.165 0.330 0.467
0.835 0.670 0.967
0.500 0.000 0.000
0.500 0.000 0.500
0.035 0.070 0.750
0.965 0.930 0.250
0.322 0.645 0.750
0.678 0.355 0.250
```

Computed properties:
**Uncorrected energy**: -2.805 eV/atom
**Space-group type**: Cmcm (63)
**M_tot**: 0.00 Bohr magnetons per cell
**D(E_F)**: 4.67 states/eV/cell

---

Rb2BrF: relaxed, PBE.

Geometry as POSCAR:
```
Rb2BrF
1.0
4.378 0.000 0.000
2.189 3.791 0.000
2.189 1.264 7.734
F Br Rb
1 1 2
Direct
0.667 0.667 0.998
0.499 0.499 0.502
0.265 0.265 0.205
0.068 0.068 0.795
```

Computed properties:
**Energy relative to the lowest polymorph listed for this composition**: 0.167 eV/f.u.
**Uncorrected energy**: -3.507 eV/atom
**Formation energy (no corrections)**: -2137.6 meV per atom
**Space-group type**: R3m (160)
**M_tot**: 0.00 Bohr magnetons per cell
**D(E_F)**: 0.00 states/eV/cell

---

Ca2Ac4Pr5: relaxed, PBE.

Geometry as POSCAR:
```
Ca2Ac4Pr5
1.0
1.859 12.967 -0.320
-1.859 12.967 -0.320
0.000 1.520 9.281
Pr Ac Ca
5 4 2
Direct
0.856 0.856 0.118
0.234 0.234 0.170
0.500 0.500 0.000
0.766 0.766 0.830
0.144 0.144 0.882
0.047 0.047 0.653
0.681 0.681 0.531
0.319 0.319 0.469
0.953 0.953 0.347
0.093 0.093 0.255
0.907 0.907 0.745
```

Computed properties:
**Uncorrected energy**: -3.912 eV/atom
**Space-group type**: C2/m (12)
**M_tot**: 0.00 Bohr magnetons per cell
**D(E_F)**: 13.83 states/eV/cell

---

Li2LuSiO5: relaxed, PBE.

Geometry as POSCAR:
```
Li2LuSiO5
1.0
-4.134 -2.499 -2.346
3.924 -0.885 -3.499
-2.117 -8.222 0.490
O Lu Li Si
10 2 4 2
Direct
0.406 0.751 0.471
0.094 0.030 0.318
0.252 0.643 0.802
0.931 0.988 0.941
0.830 0.492 0.742
0.906 0.970 0.682
0.170 0.508 0.258
0.748 0.357 0.198
0.069 0.012 0.059
0.594 0.249 0.529
0.252 0.312 0.463
0.748 0.688 0.537
0.514 0.167 0.793
0.486 0.833 0.207
0.125 0.668 0.065
0.875 0.332 0.935
0.078 0.769 0.723
0.922 0.231 0.277
```

Computed properties:
**Uncorrected energy**: -6.789 eV/atom
**Formation energy (no corrections)**: -2504.5 meV per atom
**Space-group type**: P-1 (2)
**M_tot**: 0.00 Bohr magnetons per cell
**D(E_F)**: 0.00 states/eV/cell

---

SrNi5Sb3: relaxed, PBE.

Geometry as POSCAR:
```
SrNi5Sb3
1.0
4.048 0.000 0.000
-2.024 6.463 0.000
0.000 0.000 12.532
Ni Sb Sr
10 6 2
Direct
0.816 0.633 0.429
0.541 0.082 0.856
0.184 0.367 0.929
0.000 0.000 0.500
0.000 0.000 0.000
0.816 0.633 0.071
0.459 0.918 0.144
0.541 0.082 0.644
0.184 0.367 0.571
0.459 0.918 0.356
0.373 0.747 0.540
0.902 0.805 0.250
0.627 0.253 0.460
0.098 0.195 0.750
0.627 0.253 0.040
0.373 0.747 0.960
0.179 0.358 0.250
0.821 0.642 0.750
```

Computed properties:
**Uncorrected energy**: -5.135 eV/atom
**Formation energy (no corrections)**: -362.2 meV per atom
**Space-group type**: Cmcm (63)
**M_tot**: 0.00 Bohr magnetons per cell
**D(E_F)**: 9.12 states/eV/cell

---

TmHPt: relaxed, PBE.

Geometry as POSCAR:
```
TmHPt
1.0
3.490 0.000 0.000
0.000 3.932 0.000
0.000 -1.966 3.405
Tm H Pt
1 1 1
Direct
0.668 0.333 0.667
0.165 0.667 0.333
0.168 0.000 0.000
```

Computed properties:
**Energy relative to the lowest polymorph listed for this composition**: 0.685 eV/f.u.
**Uncorrected energy**: -5.271 eV/atom
**Space-group type**: P3m1 (156)
**M_tot**: 0.00 Bohr magnetons per cell
**D(E_F)**: 0.94 states/eV/cell